No. 1
# SnTe2IrI

A relaxed SnTe2IrI crystal (PBE, the Alexandria database).

Properties
* crystal system: tetragonal
* total energy: -3.80 eV per atom
* magnetization: 0.00 μB per formula unit
* ΔE_f (raw): 0.34 eV/atom

a b c (Å): 5.2851 5.2851 5.4382
angles (deg): 90.00 90.00 90.00
Closest atoms and distances in Å follow each position.
Element x y z (fractional)
Sn1 0.0000 0.0000 0.0000  4 I 3.74, 8 Te 3.79
Te1 0.0000 0.5000 0.5000  2 Ir 2.64
Te2 0.5000 0.0000 0.5000  2 Ir 2.64
Ir1 0.5000 0.5000 0.5000  4 Te 2.64, 2 I 2.72
I1 0.5000 0.5000 0.0000  2 Ir 2.72

=====

No. 2
# SnTeIrI2

A relaxed SnTeIrI2 crystal (PBE, the Alexandria database).

Properties
* crystal system: tetragonal
* total energy: -3.50 eV per atom
* magnetization: 0.00 μB per formula unit
* ΔE_f (raw): 0.32 eV/atom

a b c (Å): 5.4201 5.4201 5.2949
angles (deg): 90.00 90.00 90.00
Closest atoms and distances in Å follow each position.
Element x y z (fractional)
Sn1 0.0000 0.0000 0.0000  8 I 3.79, 4 Te 3.83
Te1 0.5000 0.5000 0.0000  2 Ir 2.65
Ir1 0.5000 0.5000 0.5000  2 Te 2.65, 4 I 2.71
I1 0.0000 0.5000 0.5000  2 Ir 2.71
I2 0.5000 0.0000 0.5000  2 Ir 2.71

=====

No. 3
# Tl2SnIrI

A relaxed Tl2SnIrI crystal (PBE, the Alexandria database).

Properties
* crystal system: tetragonal
* total energy: -4.04 eV per atom
* magnetization: 0.00 μB per formula unit
* ΔE_f (raw): -0.21 eV/atom

a b c (Å): 5.4192 5.4192 5.1346
angles (deg): 90.00 90.00 90.00
Closest atoms and distances in Å follow each position.
Element x y z (fractional)
Tl1 0.0000 0.5000 0.0000  2 Ir 2.71
Tl2 0.5000 0.0000 0.0000  2 Ir 2.71
Sn1 0.0000 0.0000 0.5000  2 Ir 2.57
Ir1 0.0000 0.0000 0.0000  2 Sn 2.57, 4 Tl 2.71
I1 0.5000 0.5000 0.5000  8 Tl 3.73, 4 Sn 3.83

=====

No. 4
# VSn2IrI

A relaxed VSn2IrI crystal (PBE, the Alexandria database).

Properties
* crystal system: tetragonal
* total energy: -4.88 eV per atom
* magnetization: 0.54 μB per formula unit
* ΔE_f (raw): 0.62 eV/atom

a b c (Å): 5.4440 5.4440 4.4802
angles (deg): 90.00 90.00 90.00
Closest atoms and distances in Å follow each position.
Element x y z (fractional)
V1 0.0000 0.0000 0.0000  2 Ir 2.24
Sn1 0.0000 0.5000 0.0000  2 V 2.72
Sn2 0.5000 0.0000 0.0000  2 V 2.72
Ir1 0.0000 0.0000 0.5000  2 V 2.24
I1 0.5000 0.5000 0.5000  8 Sn 3.53, 4 Ir 3.85

=====

No. 5
# ZnSn2IrI

A relaxed ZnSn2IrI crystal (PBE, the Alexandria database).

Properties
* crystal system: tetragonal
* total energy: -4.11 eV per atom
* magnetization: 0.00 μB per formula unit
* ΔE_f (raw): -0.17 eV/atom

a b c (Å): 5.1703 5.1703 5.0432
angles (deg): 90.00 90.00 90.00
Closest atoms and distances in Å follow each position.
Element x y z (fractional)
Zn1 0.0000 0.0000 0.0000  2 Ir 2.52
Sn1 0.0000 0.5000 0.5000  2 Ir 2.59
Sn2 0.5000 0.0000 0.5000  2 Ir 2.59
Ir1 0.0000 0.0000 0.5000  2 Zn 2.52, 4 Sn 2.59
I1 0.5000 0.5000 0.0000  8 Sn 3.61, 4 Zn 3.66

=====

No. 6
# ZnSnIr2I

A relaxed ZnSnIr2I crystal (PBE, the Alexandria database).

Properties
* crystal system: tetragonal
* total energy: -3.55 eV per atom
* magnetization: 0.76 μB per formula unit
* ΔE_f (raw): 1.36 eV/atom

a b c (Å): 5.0347 5.0347 4.9427
angles (deg): 90.00 90.00 90.00
Closest atoms and distances in Å follow each position.
Element x y z (fractional)
Zn1 0.0000 0.0000 0.0000  2 Sn 2.47
Sn1 0.0000 0.0000 0.5000  2 Zn 2.47, 4 Ir 2.52
Ir1 0.0000 0.5000 0.5000  2 Sn 2.52
Ir2 0.5000 0.0000 0.5000  2 Sn 2.52
I1 0.5000 0.5000 0.0000  8 Ir 3.53, 4 Zn 3.56

=====

No. 7
# Sr2IrI

A relaxed Sr2IrI crystal (PBE, the Alexandria database).

Properties
* crystal system: cubic
* total energy: -3.84 eV per atom
* magnetization: 0.00 μB per formula unit
* ΔE_f (raw): -0.40 eV/atom

a b c (Å): 5.4640 5.4640 5.4640
angles (deg): 60.00 60.00 60.00
Closest atoms and distances in Å follow each position.
Element x y z (fractional)
Sr1 0.2500 0.2500 0.2500  4 I 3.35, 4 Ir 3.35
Sr2 0.7500 0.7500 0.7500  4 I 3.35, 4 Ir 3.35
Ir1 0.0000 0.0000 0.0000  8 Sr 3.35
I1 0.5000 0.5000 0.5000  8 Sr 3.35

=====

No. 8
# SrIrI

A relaxed SrIrI crystal (PBE, the Alexandria database).

Properties
* crystal system: tetragonal
* total energy: -3.93 eV per atom
* magnetization: 0.00 μB per formula unit
* ΔE_f (raw): 0.11 eV/atom

a b c (Å): 5.1111 5.1111 6.4556
angles (deg): 90.00 90.00 90.00
Closest atoms and distances in Å follow each position.
Element x y z (fractional)
Sr1 0.2500 0.2500 0.1406  2 Ir 3.08-3.37, 4 I 3.45
Sr2 0.7500 0.7500 0.8594  2 Ir 3.08-3.37, 4 I 3.45
Ir1 0.2500 0.2500 0.6629  4 I 2.76, 1 Sr 3.08
Ir2 0.7500 0.7500 0.3371  4 I 2.76, 1 Sr 3.08
I1 0.2500 0.7500 0.5000  4 Ir 2.76
I2 0.7500 0.2500 0.5000  4 Ir 2.76

=====

Which of these has the highest magnetization?
ZnSnIr2I

=====

Which of these has the lowest ΔE_f (raw)?
Sr2IrI